TaCoPbW2 after structural relaxation. Source: the Alexandria database, functional PBE.

extended XYZ file:
```
5
Lattice="4.5840 0.0000 0.0000 0.0000 4.5840 0.0000 0.0000 0.0000 4.5895" Properties=species:S:1:pos:R:3 pbc="T T T"
Ta 0.0000 0.0000 0.0000
Co 0.0000 0.0000 2.2948
Pb 2.2920 2.2920 0.0000
W 0.0000 2.2920 2.2948
W 2.2920 0.0000 2.2948
```

Values from the calculation:
Formation energy from the elements, eV per atom: 1.151
Space-group type: No. 123